The following is a DFT calculation (GGA-PBE) of an optimized crystal structure of LaSiSe3.

POSCAR file:
```
LaSiSe3
1.0
6.958 0.000 0.029
0.000 7.971 0.000
-0.359 0.000 9.619
La Si Se
4 4 12
Cartesian
2.944 6.977 7.213
3.655 0.994 2.434
6.603 4.979 2.418
-0.004 2.991 7.229
3.661 3.195 8.997
0.361 0.790 4.173
6.237 7.180 5.474
2.938 4.776 0.650
2.145 1.465 8.997
5.803 2.520 4.202
4.400 6.479 4.299
2.453 3.842 2.670
4.146 4.128 6.977
5.858 2.494 0.554
0.741 5.477 9.094
2.199 1.491 5.349
4.454 6.506 0.650
0.795 5.450 5.445
0.846 7.827 2.154
5.752 0.143 7.494
```

Results
Final energy   -5.415 eV/atom
DOS(E_F)   0.00 states/eV per cell